No. 1
{"formula": "Gd2TmAl3Cu2Ni", "functional": "PBE-GGA", "state": "optimized geometry", "final_energy_ev_per_atom": -4.725, "spacegroup": "Amm2, No. 38", "cell": [[-1.408, 3.676, -0.720], [-5.286, -2.745, -3.677], [-0.685, 1.085, 6.881]], "species": ["Al", "Al", "Al", "Cu", "Cu", "Gd", "Gd", "Ni", "Tm"], "fractional_positions": [[0.500, 0.231, 0.002], [0.500, 0.002, 0.231], [0.500, 0.769, 0.769], [0.500, 0.661, 0.335], [0.500, 0.335, 0.661], [0.000, 0.999, 0.587], [0.000, 0.587, 0.999], [0.000, 0.004, 0.004], [0.000, 0.411, 0.411]]}

***

No. 2
{"formula": "GdTlFeSe3", "functional": "PBE-GGA", "state": "optimized geometry", "relative_energy_ev_per_atom": 0.060, "spacegroup": "Pnma, No. 62", "cell": [[11.504, 0.000, 0.000], [0.000, 4.286, 0.000], [0.000, 0.000, 12.437]], "species": ["Fe", "Fe", "Fe", "Fe", "Gd", "Gd", "Gd", "Gd", "Se", "Se", "Se", "Se", "Se", "Se", "Se", "Se", "Se", "Se", "Se", "Se", "Tl", "Tl", "Tl", "Tl"], "fractional_positions": [[0.750, 0.000, 0.201], [0.250, 0.000, 0.299], [0.750, 0.500, 0.701], [0.250, 0.500, 0.799], [0.481, 0.500, 0.176], [0.981, 0.500, 0.324], [0.019, 0.000, 0.676], [0.519, 0.000, 0.824], [0.603, 0.000, 0.059], [0.956, 0.000, 0.167], [0.220, 0.500, 0.203], [0.720, 0.500, 0.297], [0.456, 0.000, 0.333], [0.103, 0.000, 0.441], [0.897, 0.500, 0.559], [0.544, 0.500, 0.667], [0.280, 0.000, 0.703], [0.780, 0.000, 0.797], [0.044, 0.500, 0.833], [0.397, 0.500, 0.941], [0.175, 0.000, 0.004], [0.675, 0.000, 0.496], [0.325, 0.500, 0.504], [0.825, 0.500, 0.996]]}

***

No. 3
{"formula": "GdDyCu2Pb", "functional": "PBE-GGA", "state": "optimized geometry", "final_energy_ev_per_atom": -4.454, "spacegroup": "Amm2, No. 38", "cell": [[3.685, 0.000, 0.000], [0.000, 2.113, 7.016], [0.000, -2.113, 7.016]], "species": ["Cu", "Cu", "Dy", "Gd", "Pb"], "fractional_positions": [[0.000, 0.204, 0.204], [0.000, 0.797, 0.797], [0.500, 0.365, 0.365], [0.500, 0.634, 0.634], [0.000, 0.999, 0.999]]}

***

No. 4
{"formula": "BeCuHgPb", "functional": "PBE-GGA", "state": "optimized geometry", "relative_energy_ev_per_atom": 0.000, "spacegroup": "F-43m, No. 216", "cell": [[-0.682, -3.542, 3.051], [1.907, 0.202, 4.318], [-2.766, 0.635, 3.777]], "species": ["Be", "Cu", "Hg", "Pb"], "fractional_positions": [[0.250, 0.250, 0.250], [0.750, 0.750, 0.750], [0.500, 0.500, 0.500], [0.000, 0.000, 0.000]]}

***

No. 5
{"formula": "YGaCoCu", "functional": "PBE-GGA", "state": "optimized geometry", "relative_energy_ev_per_atom": 0.183, "spacegroup": "F-43m, No. 216", "cell": [[0.000, 3.225, 3.225], [3.225, 0.000, 3.225], [3.225, 3.225, 0.000]], "species": ["Co", "Cu", "Ga", "Y"], "fractional_positions": [[0.500, 0.500, 0.500], [0.750, 0.750, 0.750], [0.000, 0.000, 0.000], [0.250, 0.250, 0.250]]}

***

No. 6
{"formula": "InSiTeAuSe2", "functional": "PBE-GGA", "state": "optimized geometry", "final_energy_ev_per_atom": -3.712, "spacegroup": "Cmcm, No. 63", "cell": [[1.900, -7.075, 0.000], [1.900, 7.075, 0.000], [0.000, 0.000, 10.838]], "species": ["Au", "Au", "In", "In", "Se", "Se", "Se", "Se", "Si", "Si", "Te", "Te"], "fractional_positions": [[0.359, 0.641, 0.250], [0.641, 0.359, 0.750], [0.709, 0.291, 0.250], [0.291, 0.709, 0.750], [0.375, 0.625, 0.018], [0.375, 0.625, 0.482], [0.625, 0.375, 0.518], [0.625, 0.375, 0.982], [0.000, 0.000, 0.000], [0.000, 0.000, 0.500], [0.036, 0.964, 0.250], [0.964, 0.036, 0.750]]}

***

No. 7
{"formula": "Sc2Si3GePt2", "functional": "PBE-GGA", "state": "optimized geometry", "final_energy_ev_per_atom": -6.512, "spacegroup": "Cm, No. 8", "cell": [[5.181, -2.019, 0.000], [5.181, 2.019, 0.000], [-0.786, 0.000, 6.339]], "species": ["Ge", "Pt", "Pt", "Sc", "Sc", "Si", "Si", "Si"], "fractional_positions": [[0.585, 0.585, 0.047], [0.202, 0.202, 0.256], [0.831, 0.831, 0.736], [0.919, 0.919, 0.251], [0.099, 0.099, 0.746], [0.627, 0.627, 0.455], [0.392, 0.392, 0.545], [0.345, 0.345, 0.964]]}

***

No. 8
{"formula": "RbAg3Te4W", "functional": "PBE-GGA", "state": "optimized geometry", "final_energy_ev_per_atom": -3.930, "spacegroup": "P-43m, No. 215", "cell": [[-0.165, 5.823, -3.688], [1.170, -3.612, -5.755], [-6.792, -0.764, -0.902]], "species": ["Ag", "Ag", "Ag", "Rb", "Te", "Te", "Te", "Te", "W"], "fractional_positions": [[0.500, 0.500, 0.000], [0.500, 0.000, 0.500], [0.000, 0.500, 0.500], [0.000, 0.000, 0.000], [0.280, 0.280, 0.280], [0.720, 0.720, 0.280], [0.720, 0.280, 0.720], [0.280, 0.720, 0.720], [0.500, 0.500, 0.500]]}